(1)
This record from Alexandria via LeMat-Bulk describes a geometry-optimized Pm2Dy2Th15 structure. The functional is PBE.

Values from the calculation:
ρ	10.4	g cm⁻³
V	34.489	Å³ per atom
energy relative to the elements	0.28	eV per atom
DOS(E_F)	37.913	states/eV/cell

Lattice parameters (Å, degrees): 8.7627 8.7627 8.7627 82.10 82.10 82.10
Closest atoms and distances in Å follow each position.
Fractional positions:
Pm: 0.6599 0.6599 0.6599  15 Th 4.01-4.46, 1 Dy 4.10
Pm: 0.3401 0.3401 0.3401  15 Th 4.01-4.46, 1 Dy 4.10
Dy: 0.8992 0.8992 0.8992  1 Dy 3.45, 6 Th 3.51-3.67
Dy: 0.1008 0.1008 0.1008  1 Dy 3.45, 6 Th 3.51-3.67
Th: 0.0000 0.5000 0.0000  8 Th 3.36-3.39, 2 Dy 3.51
Th: 0.0000 0.0000 0.5000  8 Th 3.36-3.39, 2 Dy 3.51
Th: 0.5000 0.0000 0.0000  8 Th 3.36-3.39, 2 Dy 3.51
Th: 0.3045 0.0000 0.6955  8 Th 3.36-3.57
Th: 0.6955 0.3045 0.0000  8 Th 3.36-3.57
Th: 0.0000 0.6955 0.3045  8 Th 3.36-3.57
Th: 0.3045 0.6955 0.0000  8 Th 3.36-3.57
Th: 0.0000 0.3045 0.6955  8 Th 3.36-3.57
Th: 0.6955 0.0000 0.3045  8 Th 3.36-3.57
Th: 0.3450 0.8244 0.3450  6 Th 3.19-3.45
Th: 0.3450 0.3450 0.8244  6 Th 3.19-3.45
Th: 0.8244 0.3450 0.3450  6 Th 3.19-3.45
Th: 0.6550 0.1756 0.6550  6 Th 3.19-3.45
Th: 0.6550 0.6550 0.1756  6 Th 3.19-3.45
Th: 0.1756 0.6550 0.6550  6 Th 3.19-3.45

***

(2)
This record from Alexandria via LeMat-Bulk describes a geometry-optimized Pm3Dy8Th2 structure. The functional is PBE.

Values from the calculation:
ρ	8.5	g cm⁻³
V	32.926	Å³ per atom
energy relative to the elements	0.11	eV per atom
DOS(E_F)	36.738	states/eV/cell

Lattice parameters (Å, degrees): 12.9837 8.7697 19.6057 70.72 104.80 155.85
Closest atoms and distances in Å follow each position.
Fractional positions:
Pm: 0.7614 0.8536 0.2245  9 Dy 3.36-3.75, 2 Th 3.56-3.72, 1 Pm 3.58
Pm: 0.5000 0.0000 0.5000  4 Dy 3.32-3.38, 2 Th 3.71
Pm: 0.9565 0.4876 0.7048  8 Dy 3.41-3.65, 2 Th 3.50-3.60, 1 Pm 3.58
Pm: 0.0435 0.5124 0.2952  8 Dy 3.41-3.65, 2 Th 3.50-3.60, 1 Pm 3.58
Pm: 0.0000 0.0000 0.0000  10 Dy 3.50-3.60, 2 Th 3.51
Pm: 0.2386 0.1464 0.7755  9 Dy 3.36-3.75, 2 Th 3.56-3.72, 1 Pm 3.58
Dy: 0.6300 0.8121 0.0372  3 Pm 3.50-3.62, 7 Dy 3.50-3.64, 2 Th 3.52-3.56
Dy: 0.5659 0.7717 0.4390  5 Dy 3.32-3.67, 2 Pm 3.38-3.45, 3 Th 3.48-3.55
Dy: 0.8547 0.9413 0.8150  5 Dy 3.37-3.58, 4 Pm 3.44-3.66, 2 Th 3.51-3.58
Dy: 0.7394 0.3692 0.9247  9 Dy 3.46-3.65, 1 Th 3.48, 2 Pm 3.59-3.60
Dy: 0.3879 0.6626 0.2609  4 Pm 3.47-3.62, 6 Dy 3.54-3.69, 2 Th 3.55-3.60
Dy: 0.6673 0.3324 0.3217  4 Pm 3.32-3.65, 4 Dy 3.37-3.67, 2 Th 3.45-3.70
Dy: 0.2557 0.0640 0.3843  6 Dy 3.46-3.80, 2 Th 3.54-3.64, 3 Pm 3.58-3.78
Dy: 0.1164 0.5681 0.8871  7 Dy 3.46-3.65, 2 Th 3.48-3.57, 3 Pm 3.56-3.58
Dy: 0.8836 0.4319 0.1129  7 Dy 3.46-3.65, 2 Th 3.48-3.57, 3 Pm 3.56-3.58
Dy: 0.7443 0.9360 0.6157  6 Dy 3.46-3.80, 2 Th 3.54-3.64, 3 Pm 3.58-3.78
Dy: 0.1453 0.0587 0.1850  5 Dy 3.37-3.58, 4 Pm 3.44-3.66, 2 Th 3.51-3.58
Dy: 0.6121 0.3374 0.7391  4 Pm 3.47-3.62, 6 Dy 3.54-3.69, 2 Th 3.55-3.60
Dy: 0.2606 0.6308 0.0753  9 Dy 3.46-3.65, 1 Th 3.48, 2 Pm 3.59-3.60
Dy: 0.3327 0.6676 0.6783  4 Pm 3.32-3.65, 4 Dy 3.37-3.67, 2 Th 3.45-3.70
Dy: 0.4341 0.2283 0.5610  5 Dy 3.32-3.67, 2 Pm 3.38-3.45, 3 Th 3.48-3.55
Dy: 0.3700 0.1879 0.9628  3 Pm 3.50-3.62, 7 Dy 3.50-3.64, 2 Th 3.52-3.56
Th: 0.5144 0.2478 0.1459  9 Dy 3.45-3.60, 3 Pm 3.50-3.56
Th: 0.0791 0.0636 0.5854  1 Th 3.38, 7 Dy 3.48-3.70, 3 Pm 3.60-3.72
Th: 0.9209 0.9364 0.4146  1 Th 3.38, 7 Dy 3.48-3.70, 3 Pm 3.60-3.72
Th: 0.4856 0.7522 0.8541  9 Dy 3.45-3.60, 3 Pm 3.50-3.56

***

(3)
This record from Alexandria via LeMat-Bulk describes a geometry-optimized Pm2Dy3Th structure. The functional is PBE.

Values from the calculation:
ρ	8.5	g cm⁻³
V	32.856	Å³ per atom
energy relative to the elements	0.11	eV per atom
DOS(E_F)	19.636	states/eV/cell

Lattice parameters (Å, degrees): 6.6808 9.0630 6.6816 81.87 85.23 98.13
Closest atoms and distances in Å follow each position.
Fractional positions:
Pm: 0.8751 0.6240 0.6253  2 Pm 3.51-3.53, 9 Dy 3.69-3.76, 3 Th 3.72-3.74
Pm: 0.3751 0.1242 0.1249  2 Pm 3.51-3.53, 9 Dy 3.70-3.76, 3 Th 3.72-3.73
Pm: 0.6249 0.8758 0.8751  2 Pm 3.51-3.53, 9 Dy 3.70-3.76, 3 Th 3.72-3.73
Pm: 0.1249 0.3760 0.3747  2 Pm 3.51-3.53, 9 Dy 3.69-3.76, 3 Th 3.72-3.74
Dy: 0.5809 0.2500 0.5813  1 Th 3.29, 4 Dy 3.30-3.53
Dy: 0.4191 0.7500 0.4187  1 Th 3.29, 4 Dy 3.30-3.53
Dy: 0.1633 0.9976 0.6700  2 Th 3.26-3.51, 3 Dy 3.28-3.53
Dy: 0.6702 0.5021 0.1634  2 Th 3.27-3.51, 3 Dy 3.28-3.53
Dy: 0.3298 0.4979 0.8366  2 Th 3.27-3.51, 3 Dy 3.28-3.53
Dy: 0.8367 0.0024 0.3300  2 Th 3.26-3.51, 3 Dy 3.28-3.53
Th: 0.0846 0.7502 0.0850  5 Dy 3.26-3.51
Th: 0.9154 0.2498 0.9150  5 Dy 3.26-3.51

***

(4)
This record from Alexandria via LeMat-Bulk describes a geometry-optimized PmDy8Th4 structure. The functional is PBE.

Values from the calculation:
ρ	9.4	g cm⁻³
V	32.279	Å³ per atom
energy relative to the elements	0.21	eV per atom
DOS(E_F)	15.025	states/eV/cell

Lattice parameters (Å, degrees): 7.3801 7.3796 9.8636 90.01 111.97 119.98
Closest atoms and distances in Å follow each position.
Fractional positions:
Pm: 0.0000 0.5000 0.5000  6 Dy 2.93
Dy: 0.5571 0.7783 0.3355  9 Dy 3.67-3.71, 3 Th 3.67
Dy: 0.4429 0.2217 0.6645  9 Dy 3.67-3.71, 3 Th 3.67
Dy: 0.4995 0.2497 0.3102  1 Pm 2.93, 2 Dy 3.24
Dy: 0.9395 0.1894 0.6898  1 Pm 2.93, 2 Dy 3.24
Dy: 0.5005 0.7503 0.6898  1 Pm 2.93, 2 Dy 3.24
Dy: 0.9398 0.7503 0.6900  1 Pm 2.93, 2 Dy 3.24
Dy: 0.0602 0.2497 0.3100  1 Pm 2.93, 2 Dy 3.24
Dy: 0.0605 0.8106 0.3102  1 Pm 2.93, 2 Dy 3.24
Th: 0.0000 0.0000 0.0000  6 Dy 3.33, 6 Th 3.69
Th: 0.0000 0.5000 0.0000  6 Dy 3.57-3.67, 6 Th 3.69
Th: 0.5000 0.5000 0.0000  6 Dy 3.57-3.67, 6 Th 3.69
Th: 0.5000 0.0000 0.0000  6 Dy 3.57-3.67, 6 Th 3.69

***

(5)
This record from Alexandria via LeMat-Bulk describes a geometry-optimized Pm8Dy4Th structure. The functional is PBE.

Values from the calculation:
ρ	7.3	g cm⁻³
V	35.875	Å³ per atom
energy relative to the elements	0.44	eV per atom
DOS(E_F)	25.142	states/eV/cell

Lattice parameters (Å, degrees): 11.7476 11.7476 7.8249 90.00 138.65 120.00
Closest atoms and distances in Å follow each position.
Fractional positions:
Pm: 0.5189 0.7595 0.2784  1 Dy 2.82, 1 Th 3.04
Pm: 0.4811 0.2405 0.7216  1 Dy 2.82, 1 Th 3.04
Pm: 0.3394 0.1697 0.0085  3 Dy 3.39-3.40, 3 Pm 3.40-3.57
Pm: 0.1612 0.3309 0.9915  3 Dy 3.39-3.40, 3 Pm 3.40-3.57
Pm: 0.6606 0.8303 0.9915  3 Dy 3.39-3.40, 3 Pm 3.40-3.57
Pm: 0.1612 0.8303 0.9915  3 Dy 3.39-3.40, 3 Pm 3.40-3.57
Pm: 0.8388 0.1697 0.0085  3 Dy 3.39-3.40, 3 Pm 3.40-3.57
Pm: 0.8388 0.6691 0.0085  3 Dy 3.39-3.40, 3 Pm 3.40-3.57
Dy: 0.0000 0.0000 0.0000  2 Pm 2.82
Dy: 0.0000 0.5000 0.0000  6 Pm 3.39-3.56
Dy: 0.5000 0.5000 0.0000  6 Pm 3.39-3.56
Dy: 0.5000 0.0000 0.0000  6 Pm 3.39-3.56
Th: 0.0000 0.5000 0.5000  2 Pm 3.04

***

(6)
This record from Alexandria via LeMat-Bulk describes a geometry-optimized PmDyTh structure. The functional is PBE.

Values from the calculation:
ρ	9.1	g cm⁻³
V	32.753	Å³ per atom
energy relative to the elements	0.02	eV per atom
DOS(E_F)	8.960	states/eV/cell

Lattice parameters (Å, degrees): 3.5963 3.5963 17.6652 90.03 95.82 119.99
Closest atoms and distances in Å follow each position.
Fractional positions:
Pm: 0.6093 0.3053 0.9146  9 Pm 3.60-3.65, 3 Dy 3.63
Pm: 0.3907 0.6947 0.0854  9 Pm 3.60-3.65, 3 Dy 3.63
Dy: 0.8372 0.4178 0.2550  3 Th 3.54-3.55, 6 Dy 3.60, 3 Pm 3.63
Dy: 0.1628 0.5822 0.7450  3 Th 3.54-3.55, 6 Dy 3.60, 3 Pm 3.63
Th: 0.2792 0.1396 0.4188  9 Th 3.52-3.60, 3 Dy 3.54-3.55
Th: 0.7208 0.8604 0.5812  9 Th 3.52-3.60, 3 Dy 3.54-3.55

***

(7)
This record from Alexandria via LeMat-Bulk describes a geometry-optimized PmDyTh structure. The functional is PBE.

Values from the calculation:
ρ	9.0	g cm⁻³
V	33.057	Å³ per atom
energy relative to the elements	0.04	eV per atom
DOS(E_F)	20.320	states/eV/cell

Lattice parameters (Å, degrees): 7.2283 5.8411 9.5676 90.00 100.89 90.00
Closest atoms and distances in Å follow each position.
Fractional positions:
Pm: 0.7222 0.2501 0.3867  6 Dy 3.61-3.70, 4 Pm 3.61, 2 Th 3.63-3.64
Pm: 0.2222 0.2500 0.3866  6 Dy 3.61-3.70, 4 Pm 3.61, 2 Th 3.63-3.64
Pm: 0.7778 0.7500 0.6133  6 Dy 3.61-3.70, 4 Pm 3.61, 2 Th 3.63-3.64
Pm: 0.2778 0.7499 0.6133  6 Dy 3.61-3.70, 4 Pm 3.61, 2 Th 3.63-3.64
Dy: 0.9427 0.7500 0.2695  4 Th 3.51-3.57, 6 Pm 3.61-3.70, 2 Dy 3.61
Dy: 0.4427 0.7500 0.2695  4 Th 3.51-3.57, 6 Pm 3.61-3.70, 2 Dy 3.61
Dy: 0.5573 0.2500 0.7305  4 Th 3.51-3.57, 6 Pm 3.61-3.70, 2 Dy 3.61
Dy: 0.0573 0.2500 0.7305  4 Th 3.51-3.57, 6 Pm 3.61-3.70, 2 Dy 3.61
Th: 0.1123 0.7500 0.9489  4 Dy 3.51-3.57, 6 Th 3.57-3.61, 2 Pm 3.63-3.64
Th: 0.6123 0.7500 0.9489  4 Dy 3.51-3.57, 6 Th 3.57-3.61, 2 Pm 3.63-3.64
Th: 0.3877 0.2500 0.0511  4 Dy 3.51-3.57, 6 Th 3.57-3.61, 2 Pm 3.63-3.64
Th: 0.8877 0.2500 0.0511  4 Dy 3.51-3.57, 6 Th 3.57-3.61, 2 Pm 3.63-3.64

***

(8)
This record from Alexandria via LeMat-Bulk describes a geometry-optimized Pm5Dy4Th4 structure. The functional is PBE.

Values from the calculation:
ρ	8.9	g cm⁻³
V	32.882	Å³ per atom
energy relative to the elements	0.03	eV per atom
DOS(E_F)	18.326	states/eV/cell

Lattice parameters (Å, degrees): 5.0742 9.5226 9.5226 85.93 74.55 74.55
Closest atoms and distances in Å follow each position.
Fractional positions:
Pm: 0.6970 0.8409 0.7651  5 Dy 3.53-3.64, 3 Th 3.56-3.57, 4 Pm 3.64-3.68
Pm: 0.3030 0.1591 0.2349  5 Dy 3.53-3.64, 3 Th 3.56-3.57, 4 Pm 3.64-3.68
Pm: 0.0000 0.0000 0.0000  8 Pm 3.64, 4 Dy 3.64
Pm: 0.5379 0.7651 0.1591  5 Dy 3.53-3.64, 3 Th 3.56-3.57, 4 Pm 3.64-3.68
Pm: 0.4621 0.2349 0.8409  5 Dy 3.53-3.64, 3 Th 3.56-3.57, 4 Pm 3.64-3.68
Dy: 0.7653 0.3885 0.0808  6 Pm 3.53-3.64, 4 Th 3.55-3.67, 2 Dy 3.58
Dy: 0.2347 0.6115 0.9192  6 Pm 3.53-3.64, 4 Th 3.55-3.67, 2 Dy 3.58
Dy: 0.8462 0.9192 0.3885  6 Pm 3.53-3.64, 4 Th 3.55-3.67, 2 Dy 3.58
Dy: 0.1538 0.0808 0.6115  6 Pm 3.53-3.64, 4 Th 3.55-3.67, 2 Dy 3.58
Th: 0.9266 0.4596 0.6873  5 Th 3.52-3.55, 4 Dy 3.55-3.67, 3 Pm 3.56-3.57
Th: 0.6139 0.3127 0.4596  5 Th 3.52-3.55, 4 Dy 3.55-3.67, 3 Pm 3.56-3.57
Th: 0.0734 0.5404 0.3127  5 Th 3.52-3.55, 4 Dy 3.55-3.67, 3 Pm 3.56-3.57
Th: 0.3861 0.6873 0.5404  5 Th 3.52-3.55, 4 Dy 3.55-3.67, 3 Pm 3.56-3.57

***

(9)
This record from Alexandria via LeMat-Bulk describes a geometry-optimized PmDyTh2 structure. The functional is PBE.

Values from the calculation:
ρ	9.8	g cm⁻³
V	32.653	Å³ per atom
energy relative to the elements	0.03	eV per atom
DOS(E_F)	13.682	states/eV/cell

Lattice parameters (Å, degrees): 5.0580 5.0819 11.3425 90.00 116.36 90.00
Closest atoms and distances in Å follow each position.
Fractional positions:
Pm: 0.3672 0.2500 0.3681  4 Th 3.57, 6 Dy 3.58-3.69, 2 Pm 3.69
Pm: 0.6328 0.7500 0.6319  4 Th 3.57, 6 Dy 3.58-3.69, 2 Pm 3.69
Dy: 0.8674 0.7500 0.3681  4 Th 3.56-3.58, 6 Pm 3.58-3.69, 2 Dy 3.69
Dy: 0.1326 0.2500 0.6319  4 Th 3.56-3.58, 6 Pm 3.58-3.69, 2 Dy 3.69
Th: 0.6202 0.2500 0.1201  8 Th 3.52-3.59, 2 Pm 3.57, 2 Dy 3.58
Th: 0.3798 0.7500 0.8799  8 Th 3.52-3.59, 2 Pm 3.57, 2 Dy 3.58
Th: 0.1214 0.7500 0.1217  8 Th 3.52-3.59, 2 Dy 3.56, 2 Pm 3.57
Th: 0.8786 0.2500 0.8783  8 Th 3.52-3.59, 2 Dy 3.56, 2 Pm 3.57

***

(10)
This record from Alexandria via LeMat-Bulk describes a geometry-optimized Pm6Dy12Th structure. The functional is PBE.

Values from the calculation:
ρ	7.9	g cm⁻³
V	33.594	Å³ per atom
energy relative to the elements	0.22	eV per atom
DOS(E_F)	32.380	states/eV/cell

Lattice parameters (Å, degrees): 8.7438 8.7438 8.7438 99.38 99.38 99.38
Closest atoms and distances in Å follow each position.
Fractional positions:
Pm: 0.9004 0.3414 0.9004  1 Pm 3.10, 2 Dy 3.44, 1 Th 3.45
Pm: 0.9004 0.9004 0.3414  1 Pm 3.10, 2 Dy 3.44, 1 Th 3.45
Pm: 0.3414 0.9004 0.9004  1 Pm 3.10, 2 Dy 3.44, 1 Th 3.45
Pm: 0.0996 0.0996 0.6586  1 Pm 3.10, 2 Dy 3.44, 1 Th 3.45
Pm: 0.0996 0.6586 0.0996  1 Pm 3.10, 2 Dy 3.44, 1 Th 3.45
Pm: 0.6586 0.0996 0.0996  1 Pm 3.10, 2 Dy 3.44, 1 Th 3.45
Dy: 0.7562 0.2438 0.5000  6 Dy 3.36-3.56, 4 Pm 3.44-3.60
Dy: 0.3494 0.0783 0.3494  6 Dy 3.36-3.62, 2 Pm 3.74
Dy: 0.3494 0.3494 0.0783  6 Dy 3.36-3.62, 2 Pm 3.74
Dy: 0.9217 0.6506 0.6506  6 Dy 3.36-3.62, 2 Pm 3.74
Dy: 0.6506 0.6506 0.9217  6 Dy 3.36-3.62, 2 Pm 3.74
Dy: 0.6506 0.9217 0.6506  6 Dy 3.36-3.62, 2 Pm 3.74
Dy: 0.5000 0.7562 0.2438  6 Dy 3.36-3.56, 4 Pm 3.44-3.60
Dy: 0.2438 0.5000 0.7562  6 Dy 3.36-3.56, 4 Pm 3.44-3.60
Dy: 0.2438 0.7562 0.5000  6 Dy 3.36-3.56, 4 Pm 3.44-3.60
Dy: 0.5000 0.2438 0.7562  6 Dy 3.36-3.56, 4 Pm 3.44-3.60
Dy: 0.7562 0.5000 0.2438  6 Dy 3.36-3.56, 4 Pm 3.44-3.60
Dy: 0.0783 0.3494 0.3494  6 Dy 3.36-3.62, 2 Pm 3.74
Th: 0.0000 0.0000 0.0000  6 Pm 3.45, 6 Dy 3.84

***

(11)
This record from Alexandria via LeMat-Bulk describes a geometry-optimized Pm9DyTh2 structure. The functional is PBE.

Values from the calculation:
ρ	7.9	g cm⁻³
V	33.677	Å³ per atom
energy relative to the elements	0.04	eV per atom
DOS(E_F)	16.173	states/eV/cell

Lattice parameters (Å, degrees): 5.1245 5.1245 15.3894 90.00 90.00 90.00
Closest atoms and distances in Å follow each position.
Fractional positions:
Pm: 0.5000 0.5000 0.0000  4 Dy 3.62, 8 Pm 3.64
Pm: 0.5000 0.5000 0.3330  8 Pm 3.60-3.63, 4 Th 3.62
Pm: 0.5000 0.5000 0.6670  8 Pm 3.60-3.63, 4 Th 3.62
Pm: 0.5000 0.0000 0.1683  8 Pm 3.60-3.64, 2 Th 3.61, 2 Dy 3.64
Pm: 0.5000 0.0000 0.5000  8 Pm 3.62-3.63, 4 Th 3.62
Pm: 0.5000 0.0000 0.8317  8 Pm 3.60-3.64, 2 Th 3.61, 2 Dy 3.64
Pm: 0.0000 0.5000 0.1683  8 Pm 3.60-3.64, 2 Th 3.61, 2 Dy 3.64
Pm: 0.0000 0.5000 0.5000  8 Pm 3.62-3.63, 4 Th 3.62
Pm: 0.0000 0.5000 0.8317  8 Pm 3.60-3.64, 2 Th 3.61, 2 Dy 3.64
Dy: 0.0000 0.0000 0.0000  12 Pm 3.62-3.64
Th: 0.0000 0.0000 0.3335  12 Pm 3.61-3.62
Th: 0.0000 0.0000 0.6665  12 Pm 3.61-3.62

***

(12)
This record from Alexandria via LeMat-Bulk describes a geometry-optimized PmDy2Th6 structure. The functional is PBE.

Values from the calculation:
ρ	10.5	g cm⁻³
V	32.650	Å³ per atom
energy relative to the elements	0.09	eV per atom
DOS(E_F)	13.845	states/eV/cell

Lattice parameters (Å, degrees): 3.5428 3.5428 27.0335 90.00 90.00 120.00
Closest atoms and distances in Å follow each position.
Fractional positions:
Pm: 0.6667 0.3333 0.0000  6 Pm 3.54, 6 Th 3.67
Dy: 0.3333 0.6667 0.6696  6 Dy 3.54, 6 Th 3.57-3.60
Dy: 0.3333 0.6667 0.3304  6 Dy 3.54, 6 Th 3.57-3.60
Th: 0.3333 0.6667 0.1126  9 Th 3.54-3.57, 3 Pm 3.67
Th: 0.6667 0.3333 0.5615  7 Th 3.32-3.54, 3 Dy 3.57
Th: 0.6667 0.3333 0.2209  9 Th 3.54-3.57, 3 Dy 3.60
Th: 0.6667 0.3333 0.7791  9 Th 3.54-3.57, 3 Dy 3.60
Th: 0.6667 0.3333 0.4385  7 Th 3.32-3.54, 3 Dy 3.57
Th: 0.3333 0.6667 0.8874  9 Th 3.54-3.57, 3 Pm 3.67